The following is a DFT calculation (GGA-PBEsol) of KP2Ir after structural relaxation.

abc: 6.3175 6.3175 6.3175
angles: 36.76 36.76 36.76
Sites, in units of the cell vectors:
K: 0.0000 0.0000 0.0000
P: 0.2058 0.2058 0.2058
P: 0.7942 0.7942 0.7942
Ir: 0.5000 0.5000 0.5000

Results
- Energy: -6.02 eV per atom
- Formation energy: -0.39 eV/atom
- SG: R-3m, No. 166
- Energy above the lowest structure with this stoichiometry: 0.0 meV per atom
- Total moment: 0.00 μB/cell

---

The following is a DFT calculation (GGA-PBEsol) of K2PIr after structural relaxation.

abc: 5.9558 5.9558 5.9558
angles: 137.33 122.64 74.06
Sites, in units of the cell vectors:
K: 0.0000 0.0000 0.0000
K: 0.6812 0.1812 0.5000
P: 0.3341 0.8341 0.5000
Ir: 0.3479 0.3479 0.0000

Results
- Energy: -4.61 eV per atom
- Formation energy: -0.14 eV/atom
- SG: Imm2, No. 44
- Total moment: 0.00 μB/cell

---

The following is a DFT calculation (GGA-PBEsol) of K2PIr after structural relaxation.

abc: 3.2330 3.2330 9.8895
angles: 90.00 90.00 90.00
Sites, in units of the cell vectors:
K: 0.0000 0.0000 0.0000
K: 0.5000 0.5000 0.4255
P: 0.0000 0.0000 0.6660
Ir: 0.5000 0.5000 0.7488

Results
- Energy: -4.48 eV per atom
- Formation energy: -0.01 eV/atom
- SG: P4mm, No. 99
- Total moment: 0.00 μB/cell